The following is a meta-GGA SCAN calculation of a PBEsol-optimized structure of KTaSb, from the Alexandria database.

Properties
Calculated volume in Å³ per atom: 25.276
Size of the total moment in μB/cell: 0.00
Energy relative to the lowest polymorph listed for this composition in kJ/mol of formula units: 0
ΔE_f (raw) in meV per atom: 507

Cell lengths 3.1161, 3.1161, 8.1141 Å; angles 101.07, 101.07, 90.00 degrees
Element x y z (fractional)
K 0.0046 0.0046 0.0092
Ta 0.3092 0.3092 0.6183
Sb 0.6862 0.6862 0.3724

The following is a meta-GGA SCAN calculation of a PBEsol-optimized structure of ScMnMo2, from the Alexandria database.

Properties
Calculated volume in Å³ per atom: 14.772
Size of the total moment in μB/cell: 1.81
Energy relative to the lowest polymorph listed for this composition in kJ/mol of formula units: 0
Formation energy from the elements in eV per atom: 0.102

Cell lengths 4.3719, 4.3719, 4.3719 Å; angles 60.00, 60.00, 60.00 degrees
Element x y z (fractional)
Sc 0.2500 0.2500 0.2500
Mo 0.0000 0.0000 0.0000
Mn 0.5000 0.5000 0.5000
Mo 0.7500 0.7500 0.7500